No. 1
# GGA-PBE Th2VPt, optimized geometry
# V	321.5	Å³/cell
# ΔH_f (0 K)	294	meV per atom
data_Th2VPt
_symmetry_space_group_name_H-M 'R -3 m'
_symmetry_Int_Tables_number 166
_symmetry_space_group_name_Hall '-R 3 2"'
_cell_length_a 3.5856
_cell_length_b 3.5856
_cell_length_c 28.8777
_cell_angle_alpha 90.00
_cell_angle_beta 90.00
_cell_angle_gamma 120.00
loop_
_atom_site_label
_atom_site_type_symbol
_atom_site_fract_x
_atom_site_fract_y
_atom_site_fract_z
Th1 Th 0.0000 0.0000 0.0943
V1 V 0.0000 0.0000 0.0000
Pt1 Pt 0.0000 0.0000 0.5000



No. 2
# GGA-PBE YThPt, optimized geometry
# V	80.3	Å³/cell
# ΔH_f (0 K)	-549	meV per atom
data_YThPt
_symmetry_space_group_name_H-M 'P 3 m 1'
_symmetry_Int_Tables_number 156
_symmetry_space_group_name_Hall 'P 3 -2"'
_cell_length_a 4.7520
_cell_length_b 4.7520
_cell_length_c 4.1067
_cell_angle_alpha 90.00
_cell_angle_beta 90.00
_cell_angle_gamma 120.00
loop_
_atom_site_label
_atom_site_type_symbol
_atom_site_fract_x
_atom_site_fract_y
_atom_site_fract_z
Y1 Y 0.0000 0.0000 0.0000
Th1 Th 0.3333 0.6667 0.5286
Pt1 Pt 0.6667 0.3333 0.2331



No. 3
# GGA-PBE Y3ThPt12, optimized geometry
# V	286.7	Å³/cell
# ΔH_f (0 K)	-1037	meV per atom
data_Y3ThPt12
_symmetry_space_group_name_H-M 'P 4/m m m'
_symmetry_Int_Tables_number 123
_symmetry_space_group_name_Hall '-P 4 2'
_cell_length_a 4.1585
_cell_length_b 4.1585
_cell_length_c 16.5781
_cell_angle_alpha 90.00
_cell_angle_beta 90.00
_cell_angle_gamma 90.00
loop_
_atom_site_label
_atom_site_type_symbol
_atom_site_fract_x
_atom_site_fract_y
_atom_site_fract_z
Y1 Y 0.0000 0.0000 0.0000
Y2 Y 0.0000 0.0000 0.2457
Th1 Th 0.0000 0.0000 0.5000
Pt1 Pt 0.0000 0.5000 0.1231
Pt2 Pt 0.0000 0.5000 0.3715
Pt3 Pt 0.5000 0.5000 0.0000
Pt4 Pt 0.5000 0.5000 0.2470
Pt5 Pt 0.5000 0.5000 0.5000



No. 4
# GGA-PBE YThPt, optimized geometry
# V	345.2	Å³/cell
# ΔH_f (0 K)	-663	meV per atom
data_YThPt
_symmetry_space_group_name_H-M 'F -4 3 m'
_symmetry_Int_Tables_number 216
_symmetry_space_group_name_Hall 'F -4 2 3'
_cell_length_a 7.0151
_cell_length_b 7.0151
_cell_length_c 7.0151
_cell_angle_alpha 90.00
_cell_angle_beta 90.00
_cell_angle_gamma 90.00
loop_
_atom_site_label
_atom_site_type_symbol
_atom_site_fract_x
_atom_site_fract_y
_atom_site_fract_z
Y1 Y 0.0000 0.0000 0.0000
Th1 Th 0.0000 0.0000 0.5000
Pt1 Pt 0.2500 0.2500 0.2500



No. 5
# GGA-PBE YTh2Pt2, optimized geometry
# V	253.5	Å³/cell
# ΔH_f (0 K)	-1015	meV per atom
data_YTh2Pt2
_symmetry_space_group_name_H-M 'P 4/m b m'
_symmetry_Int_Tables_number 127
_symmetry_space_group_name_Hall '-P 4 2ab'
_cell_length_a 8.0776
_cell_length_b 8.0776
_cell_length_c 3.8848
_cell_angle_alpha 90.00
_cell_angle_beta 90.00
_cell_angle_gamma 90.00
loop_
_atom_site_label
_atom_site_type_symbol
_atom_site_fract_x
_atom_site_fract_y
_atom_site_fract_z
Y1 Y 0.0000 0.0000 0.0000
Th1 Th 0.1693 0.3307 0.5000
Pt1 Pt 0.1316 0.6316 0.0000



No. 6
# GGA-PBE YTh3Pt12, optimized geometry
# V	298.2	Å³/cell
# ΔH_f (0 K)	-1102	meV per atom
data_YTh3Pt12
_symmetry_space_group_name_H-M 'P 4/m m m'
_symmetry_Int_Tables_number 123
_symmetry_space_group_name_Hall '-P 4 2'
_cell_length_a 4.2086
_cell_length_b 4.2086
_cell_length_c 16.8348
_cell_angle_alpha 90.00
_cell_angle_beta 90.00
_cell_angle_gamma 90.00
loop_
_atom_site_label
_atom_site_type_symbol
_atom_site_fract_x
_atom_site_fract_y
_atom_site_fract_z
Y1 Y 0.0000 0.0000 0.0000
Th1 Th 0.0000 0.0000 0.2450
Th2 Th 0.0000 0.0000 0.5000
Pt1 Pt 0.0000 0.5000 0.1222
Pt2 Pt 0.0000 0.5000 0.3738
Pt3 Pt 0.5000 0.5000 0.0000
Pt4 Pt 0.5000 0.5000 0.2485
Pt5 Pt 0.5000 0.5000 0.5000



No. 7
# GGA-PBE YTh2Pt4, optimized geometry
# V	646.6	Å³/cell
# ΔH_f (0 K)	-1200	meV per atom
data_YTh2Pt4
_symmetry_space_group_name_H-M 'I -4 2 d'
_symmetry_Int_Tables_number 122
_symmetry_space_group_name_Hall 'I -4 2bw'
_cell_length_a 8.6999
_cell_length_b 8.6999
_cell_length_c 8.5428
_cell_angle_alpha 90.00
_cell_angle_beta 90.00
_cell_angle_gamma 90.00
loop_
_atom_site_label
_atom_site_type_symbol
_atom_site_fract_x
_atom_site_fract_y
_atom_site_fract_z
Y1 Y 0.0000 0.0000 0.0000
Th1 Th 0.1255 0.7500 0.6250
Pt1 Pt 0.0798 0.6665 0.9605



No. 8
# GGA-PBE YTh3Pt4, optimized geometry
# V	410.5	Å³/cell
# ΔH_f (0 K)	-1203	meV per atom
data_YTh3Pt4
_symmetry_space_group_name_H-M 'P 1 2/c 1'
_symmetry_Int_Tables_number 13
_symmetry_space_group_name_Hall '-P 2yc'
_cell_length_a 7.2429
_cell_length_b 8.3917
_cell_length_c 7.1755
_cell_angle_alpha 90.00
_cell_angle_beta 109.75
_cell_angle_gamma 90.00
loop_
_atom_site_label
_atom_site_type_symbol
_atom_site_fract_x
_atom_site_fract_y
_atom_site_fract_z
Y1 Y 0.0000 0.1248 0.2500
Th1 Th 0.0000 0.3730 0.7500
Th2 Th 0.5000 0.1242 0.7500
Th3 Th 0.5000 0.3734 0.2500
Pt1 Pt 0.2499 0.3758 0.5004
Pt2 Pt 0.2509 0.1248 0.9999



No. 9
# GGA-PBE YThPt4, optimized geometry
# V	468.7	Å³/cell
# ΔH_f (0 K)	-1075	meV per atom
data_YThPt4
_symmetry_space_group_name_H-M 'F -4 3 m'
_symmetry_Int_Tables_number 216
_symmetry_space_group_name_Hall 'F -4 2 3'
_cell_length_a 7.7677
_cell_length_b 7.7677
_cell_length_c 7.7677
_cell_angle_alpha 90.00
_cell_angle_beta 90.00
_cell_angle_gamma 90.00
loop_
_atom_site_label
_atom_site_type_symbol
_atom_site_fract_x
_atom_site_fract_y
_atom_site_fract_z
Y1 Y 0.0000 0.0000 0.0000
Th1 Th 0.2500 0.2500 0.7500
Pt1 Pt 0.1254 0.1254 0.3746



No. 10
# GGA-PBE YTh3Pt3, optimized geometry
# V	740.8	Å³/cell
# ΔH_f (0 K)	-1034	meV per atom
data_YTh3Pt3
_symmetry_space_group_name_H-M 'P n m a'
_symmetry_Int_Tables_number 62
_symmetry_space_group_name_Hall '-P 2ac 2n'
_cell_length_a 12.5600
_cell_length_b 4.0887
_cell_length_c 14.4253
_cell_angle_alpha 90.00
_cell_angle_beta 90.00
_cell_angle_gamma 90.00
loop_
_atom_site_label
_atom_site_type_symbol
_atom_site_fract_x
_atom_site_fract_y
_atom_site_fract_z
Y1 Y 0.0130 0.2500 0.1886
Th1 Th 0.0450 0.2500 0.6064
Th2 Th 0.1836 0.7500 0.0317
Th3 Th 0.2454 0.7500 0.3054
Pt1 Pt 0.0613 0.2500 0.9364
Pt2 Pt 0.1197 0.2500 0.4069
Pt3 Pt 0.2078 0.7500 0.6661



No. 11
# GGA-PBE YThPt, optimized geometry
# V	321.2	Å³/cell
# ΔH_f (0 K)	-614	meV per atom
data_YThPt
_symmetry_space_group_name_H-M 'P b c m'
_symmetry_Int_Tables_number 57
_symmetry_space_group_name_Hall '-P 2c 2b'
_cell_length_a 8.2375
_cell_length_b 7.1011
_cell_length_c 5.4912
_cell_angle_alpha 90.00
_cell_angle_beta 90.00
_cell_angle_gamma 90.00
loop_
_atom_site_label
_atom_site_type_symbol
_atom_site_fract_x
_atom_site_fract_y
_atom_site_fract_z
Y1 Y 0.1350 0.0380 0.2500
Th1 Th 0.4650 0.1289 0.7500
Pt1 Pt 0.2080 0.6336 0.2500



No. 12
# GGA-PBE YThZnPt, optimized geometry
# V	373.8	Å³/cell
# ΔH_f (0 K)	-659	meV per atom
data_YThZnPt
_symmetry_space_group_name_H-M 'F -4 3 m'
_symmetry_Int_Tables_number 216
_symmetry_space_group_name_Hall 'F -4 2 3'
_cell_length_a 7.2035
_cell_length_b 7.2035
_cell_length_c 7.2035
_cell_angle_alpha 90.00
_cell_angle_beta 90.00
_cell_angle_gamma 90.00
loop_
_atom_site_label
_atom_site_type_symbol
_atom_site_fract_x
_atom_site_fract_y
_atom_site_fract_z
Y1 Y 0.0000 0.0000 0.0000
Th1 Th 0.0000 0.0000 0.5000
Zn1 Zn 0.2500 0.2500 0.2500
Pt1 Pt 0.2500 0.2500 0.7500



No. 13
# GGA-PBE YbThPt2, optimized geometry
# V	361.8	Å³/cell
# ΔH_f (0 K)	-1112	meV per atom
data_YbThPt2
_symmetry_space_group_name_H-M 'F m -3 m'
_symmetry_Int_Tables_number 225
_symmetry_space_group_name_Hall '-F 4 2 3'
_cell_length_a 7.1257
_cell_length_b 7.1257
_cell_length_c 7.1257
_cell_angle_alpha 90.00
_cell_angle_beta 90.00
_cell_angle_gamma 90.00
loop_
_atom_site_label
_atom_site_type_symbol
_atom_site_fract_x
_atom_site_fract_y
_atom_site_fract_z
Yb1 Yb 0.0000 0.0000 0.0000
Th1 Th 0.0000 0.0000 0.5000
Pt1 Pt 0.2500 0.2500 0.2500



No. 14
# GGA-PBE Th2ZnPt6, optimized geometry
# V	172.2	Å³/cell
# ΔH_f (0 K)	-1009	meV per atom
data_Th2ZnPt6
_symmetry_space_group_name_H-M 'P -3 m 1'
_symmetry_Int_Tables_number 164
_symmetry_space_group_name_Hall '-P 3 2"'
_cell_length_a 5.7876
_cell_length_b 5.7876
_cell_length_c 5.9349
_cell_angle_alpha 90.00
_cell_angle_beta 90.00
_cell_angle_gamma 120.00
loop_
_atom_site_label
_atom_site_type_symbol
_atom_site_fract_x
_atom_site_fract_y
_atom_site_fract_z
Th1 Th 0.3333 0.6667 0.3159
Zn1 Zn 0.0000 0.0000 0.5000
Pt1 Pt 0.1737 0.3473 0.8095



No. 15
# GGA-PBE ThZn3Pt3, optimized geometry
# V	311.0	Å³/cell
# ΔH_f (0 K)	-36	meV per atom
data_ThZn3Pt3
_symmetry_space_group_name_H-M 'P m -3 n'
_symmetry_Int_Tables_number 223
_symmetry_space_group_name_Hall '-P 4n 2 3'
_cell_length_a 6.7750
_cell_length_b 6.7750
_cell_length_c 6.7750
_cell_angle_alpha 90.00
_cell_angle_beta 90.00
_cell_angle_gamma 90.00
loop_
_atom_site_label
_atom_site_type_symbol
_atom_site_fract_x
_atom_site_fract_y
_atom_site_fract_z
Th1 Th 0.0000 0.0000 0.0000
Zn1 Zn 0.0000 0.2500 0.5000
Pt1 Pt 0.0000 0.5000 0.2500



No. 16
# GGA-PBE ThZnPt3, optimized geometry
# V	207.4	Å³/cell
# ΔH_f (0 K)	-585	meV per atom
data_ThZnPt3
_symmetry_space_group_name_H-M 'P b a m'
_symmetry_Int_Tables_number 55
_symmetry_space_group_name_Hall '-P 2 2ab'
_cell_length_a 5.6377
_cell_length_b 7.2407
_cell_length_c 5.0816
_cell_angle_alpha 90.00
_cell_angle_beta 90.00
_cell_angle_gamma 90.00
loop_
_atom_site_label
_atom_site_type_symbol
_atom_site_fract_x
_atom_site_fract_y
_atom_site_fract_z
Th1 Th 0.0000 0.0000 0.0000
Zn1 Zn 0.0000 0.5000 0.5000
Pt1 Pt 0.0000 0.5000 0.0000
Pt2 Pt 0.1133 0.1732 0.5000



No. 17
# GGA-PBE ThZn11Pt, optimized geometry
# V	423.4	Å³/cell
# ΔH_f (0 K)	-256	meV per atom
data_ThZn11Pt
_symmetry_space_group_name_H-M 'C 1 2/m 1'
_symmetry_Int_Tables_number 12
_symmetry_space_group_name_Hall '-C 2y'
_cell_length_a 5.2510
_cell_length_b 12.7771
_cell_length_c 6.8034
_cell_angle_alpha 90.00
_cell_angle_beta 111.95
_cell_angle_gamma 90.00
loop_
_atom_site_label
_atom_site_type_symbol
_atom_site_fract_x
_atom_site_fract_y
_atom_site_fract_z
Th1 Th 0.0000 0.0000 0.0000
Zn1 Zn 0.0000 0.5000 0.5000
Zn2 Zn 0.1066 0.3885 0.2196
Zn3 Zn 0.1652 0.1775 0.3567
Zn4 Zn 0.2500 0.2500 0.0000
Pt1 Pt 0.0000 0.0000 0.5000



No. 18
# GGA-PBE Th2Zn3Pt4, optimized geometry
# V	683.1	Å³/cell
# ΔH_f (0 K)	-881	meV per atom
data_Th2Zn3Pt4
_symmetry_space_group_name_H-M 'C m c e'
_symmetry_Int_Tables_number 64
_symmetry_space_group_name_Hall '-C 2ac 2'
_cell_length_a 5.6558
_cell_length_b 15.8929
_cell_length_c 7.5993
_cell_angle_alpha 90.00
_cell_angle_beta 90.00
_cell_angle_gamma 90.00
loop_
_atom_site_label
_atom_site_type_symbol
_atom_site_fract_x
_atom_site_fract_y
_atom_site_fract_z
Th1 Th 0.0000 0.1130 0.0851
Zn1 Zn 0.0000 0.0000 0.5000
Zn2 Zn 0.2500 0.2249 0.7500
Pt1 Pt 0.0000 0.1770 0.4678
Pt2 Pt 0.2500 0.0590 0.7500



No. 19
# GGA-PBE Th4Zn3Pt, optimized geometry
# V	197.7	Å³/cell
# ΔH_f (0 K)	-409	meV per atom
data_Th4Zn3Pt
_symmetry_space_group_name_H-M 'P m m 2'
_symmetry_Int_Tables_number 25
_symmetry_space_group_name_Hall 'P 2 -2'
_cell_length_a 3.7695
_cell_length_b 4.4258
_cell_length_c 11.8487
_cell_angle_alpha 90.00
_cell_angle_beta 90.00
_cell_angle_gamma 90.00
loop_
_atom_site_label
_atom_site_type_symbol
_atom_site_fract_x
_atom_site_fract_y
_atom_site_fract_z
Th1 Th 0.0000 0.0000 0.0000
Th2 Th 0.0000 0.5000 0.2976
Th3 Th 0.5000 0.0000 0.4916
Th4 Th 0.5000 0.5000 0.8072
Zn1 Zn 0.0000 0.0000 0.7133
Zn2 Zn 0.0000 0.5000 0.5844
Zn3 Zn 0.5000 0.5000 0.0816
Pt1 Pt 0.5000 0.0000 0.2182



No. 20
# GGA-PBE ThZn9Pt2, optimized geometry
# V	205.6	Å³/cell
# ΔH_f (0 K)	-272	meV per atom
data_ThZn9Pt2
_symmetry_space_group_name_H-M 'P 6/m m m'
_symmetry_Int_Tables_number 191
_symmetry_space_group_name_Hall '-P 6 2'
_cell_length_a 8.7261
_cell_length_b 8.7261
_cell_length_c 3.1178
_cell_angle_alpha 90.00
_cell_angle_beta 90.00
_cell_angle_gamma 120.00
loop_
_atom_site_label
_atom_site_type_symbol
_atom_site_fract_x
_atom_site_fract_y
_atom_site_fract_z
Th1 Th 0.0000 0.0000 0.0000
Zn1 Zn 0.0000 0.5000 0.0000
Zn2 Zn 0.1873 0.3746 0.5000
Pt1 Pt 0.3333 0.6667 0.0000